No. 1
The following is a PBE-GGA calculation of RbCoN after structural relaxation, from the Alexandria database.

Results
Uncorrected formation energy   0.083 eV per atom
Total DFT energy (no corrections)   -5.383 eV per atom
Offset from the most stable computed form   145 meV per atom
ρ   4.25 g/cm³

abc: 3.450 3.450 10.403
angles: 90.00 90.00 90.00
Space group P4/nmm (No. 129, origin choice 2)
Inequivalent atoms, fractional coordinates:
Rb  0.250  0.250  0.226
Co  0.250  0.750  0.500
N  0.250  0.250  0.588

No. 2
The following is a PBE-GGA calculation of LiSb2Se2 after structural relaxation, from the Alexandria database.

Results
Uncorrected formation energy   -0.072 eV per atom
Total DFT energy (no corrections)   -3.498 eV per atom
Offset from the most stable computed form   131 meV per atom
ρ   4.94 g/cm³

abc: 4.221 4.221 15.409
angles: 90.00 90.00 90.00
Space group I4/mmm (No. 139)
Inequivalent atoms, fractional coordinates:
Li  0.000  0.000  0.000
Sb  0.000  0.500  0.250
Se  0.000  0.000  0.419

No. 3
The following is a PBE-GGA calculation of NdDyErAl after structural relaxation, from the Alexandria database.

Results
Total DFT energy (no corrections)   -4.479 eV per atom
Offset from the most stable computed form   135 meV per atom
ρ   7.52 g/cm³
ΔE_f   -0.0605 eV per atom

abc: 7.622 7.622 7.622
angles: 90.00 90.00 90.00
Space group F-43m (No. 216)
Inequivalent atoms, fractional coordinates:
Nd  0.000  0.000  0.000
Dy  0.000  0.000  0.500
Er  0.250  0.250  0.250
Al  0.250  0.250  0.750

No. 4
The following is a PBE-GGA calculation of NaLaAl2 after structural relaxation, from the Alexandria database.

Results
Total DFT energy (no corrections)   -3.496 eV per atom
Offset from the most stable computed form   0 meV per atom
ρ   3.55 g/cm³
ΔE_f   -0.0631 eV per atom

abc: 7.390 7.390 7.390
angles: 90.00 90.00 90.00
Space group Fm-3m (No. 225)
Inequivalent atoms, fractional coordinates:
Na  0.000  0.000  0.000
La  0.000  0.000  0.500
Al  0.250  0.250  0.250

No. 5
The following is a PBE-GGA calculation of TaCr3H after structural relaxation, from the Alexandria database.

Results
Total DFT energy (no corrections)   -6.664 eV per atom
Offset from the most stable computed form   1898 meV per atom
ρ   4.97 g/cm³

abc: 4.833 4.833 4.833
angles: 90.00 90.00 90.00
Space group Pm-3m (No. 221)
Inequivalent atoms, fractional coordinates:
Ta  0.000  0.000  0.000
Cr  0.000  0.000  0.500
H  0.500  0.500  0.500

No. 6
The following is a PBE-GGA calculation of Ac6GePb after structural relaxation, from the Alexandria database.

Results
Total DFT energy (no corrections)   -4.230 eV per atom
ρ   7.65 g/cm³
ΔE_f   -0.1076 eV per atom

abc: 8.095 12.692 7.456
angles: 90.00 111.55 90.00
Space group C2/m (No. 12)
Inequivalent atoms, fractional coordinates:
Ac  0.205  0.186  0.247
Ac  0.247  0.000  0.775
Ge  0.000  0.000  0.000
Pb  0.000  0.500  0.500